Record 1
A relaxed structure of Ho2MnCd. Source: Alexandria, functional PBE.

density of states at the Fermi level = 0.970 states/eV/atom
M_tot = 2.9 μB per formula unit
space-group type = P4/mmm
polymorph energy (0 for the lowest one) = 0 meV per atom

Unit cell a=3.4977 b=3.4977 c=7.7508 alpha=90.00 beta=90.00 gamma=90.00
Last column: nearest neighbours and their distance in Å.
Element x y z (fractional)
Mn 0.5000 0.5000 0.0000  8 Ho 3.02
Ho 0.0000 0.0000 0.7758  4 Mn 3.02, 4 Cd 3.27
Ho 0.0000 0.0000 0.2242  4 Mn 3.02, 4 Cd 3.27
Cd 0.5000 0.5000 0.5000  8 Ho 3.27, 4 Cd 3.50


Record 2
A relaxed structure of ScTiC2. Source: Alexandria, functional PBE.

density of states at the Fermi level = 0.909 states/eV/atom
M_tot = 0.0 μB per formula unit
space-group type = Fm-3m

Unit cell a=3.9542 b=3.9542 c=3.9542 alpha=60.00 beta=60.00 gamma=60.00
Last column: nearest neighbours and their distance in Å.
Element x y z (fractional)
Sc 0.0000 0.0000 0.0000  8 C 2.42
C 0.2500 0.2500 0.2500  4 Sc 2.42, 4 Ti 2.42
C 0.7500 0.7500 0.7500  4 Ti 2.42, 4 Sc 2.42
Ti 0.5000 0.5000 0.5000  8 C 2.42


Record 3
A relaxed structure of SrCdSnSb2. Source: Alexandria, functional PBE.

density of states at the Fermi level = 0.205 states/eV/atom
M_tot = 0.0 μB per formula unit
space-group type = C2/m
ΔE_f (raw) = -0.354 eV per atom

Unit cell a=5.5329 b=6.5796 c=9.7962 alpha=107.10 beta=90.00 gamma=114.86
Last column: nearest neighbours and their distance in Å.
Element x y z (fractional)
Sr 0.3487 0.6973 0.2958  7 Sb 3.43-3.75, 1 Sn 3.51, 3 Cd 3.75-3.81
Sr 0.6513 0.3027 0.7042  7 Sb 3.43-3.75, 1 Sn 3.51, 3 Cd 3.75-3.81
Cd 0.0718 0.1436 0.4080  1 Cd 2.86, 2 Sb 3.07
Cd 0.9282 0.8564 0.5920  1 Cd 2.86, 2 Sb 3.07
Sn 0.6377 0.2753 0.0570  4 Sb 2.87-3.02, 1 Sn 3.11
Sn 0.3623 0.7247 0.9430  4 Sb 2.87-3.02, 1 Sn 3.11
Sb 0.3357 0.6713 0.6410  1 Sn 2.87, 2 Cd 3.07
Sb 0.6643 0.3287 0.3590  1 Sn 2.87, 2 Cd 3.07
Sb 0.1083 0.2166 0.9373  3 Sn 2.98-3.02, 1 Sb 3.20
Sb 0.8917 0.7834 0.0627  3 Sn 2.98-3.02, 1 Sb 3.20


Record 4
A relaxed structure of V3GaH2. Source: Alexandria, functional PBE.

density of states at the Fermi level = 0.575 states/eV/atom
M_tot = 0.0 μB per formula unit
space-group type = Cmcm
polymorph energy (0 for the lowest one) = 0 meV per atom

Unit cell a=4.1586 b=5.4272 c=5.4272 alpha=94.42 beta=90.00 gamma=90.00
Last column: nearest neighbours and their distance in Å.
Element x y z (fractional)
V 0.2500 0.1322 0.8678  4 H 1.81
V 0.2500 0.5851 0.8544  2 H 1.81
V 0.7500 0.8544 0.5851  2 H 1.81
V 0.2500 0.1456 0.4149  2 H 1.81
V 0.7500 0.4149 0.1456  2 H 1.81
V 0.7500 0.8678 0.1322  4 H 1.81
Ga 0.7500 0.3449 0.6551  10 V 2.64-2.82
Ga 0.2500 0.6551 0.3449  10 V 2.64-2.82
H 0.0000 0.8596 0.8596  4 V 1.81
H 0.5000 0.8596 0.8596  4 V 1.81
H 0.0000 0.1404 0.1404  4 V 1.81
H 0.5000 0.1404 0.1404  4 V 1.81


Record 5
A relaxed structure of Li5Re. Source: Alexandria, functional PBE.

density of states at the Fermi level = 0.685 states/eV/atom
M_tot = 0.2 μB per formula unit
space-group type = Cm
polymorph energy (0 for the lowest one) = 96 meV per atom

Unit cell a=5.5328 b=5.5328 c=7.1510 alpha=77.68 beta=77.68 gamma=26.45
Last column: nearest neighbours and their distance in Å.
Element x y z (fractional)
Li 0.9925 0.9925 0.0210  5 Li 2.53-2.81, 1 Re 2.81
Li 0.6559 0.6559 0.6999  4 Li 2.53-2.82, 1 Re 2.71
Li 0.3263 0.3263 0.3275  5 Li 2.53-2.81, 2 Re 2.81
Li 0.3858 0.3858 0.7249  4 Li 2.53-2.82, 2 Re 2.80
Li 0.0773 0.0773 0.3546  4 Li 2.53-2.74, 2 Re 2.78
Re 0.7290 0.7290 0.0388  2 Re 2.53, 8 Li 2.71-2.81


Record 6
A relaxed structure of MnAsPt4. Source: Alexandria, functional PBE.

density of states at the Fermi level = 1.056 states/eV/atom
M_tot = 4.6 μB per formula unit
space-group type = F-43m

Unit cell a=5.2877 b=5.2877 c=5.2877 alpha=60.00 beta=60.00 gamma=60.00
Last column: nearest neighbours and their distance in Å.
Element x y z (fractional)
Mn 0.0000 0.0000 0.0000  12 Pt 3.10, 4 As 3.24
As 0.7500 0.7500 0.7500  12 Pt 3.10, 4 Mn 3.24
Pt 0.8755 0.3748 0.3748  6 Pt 2.64-2.65
Pt 0.3748 0.3748 0.8755  6 Pt 2.64-2.65
Pt 0.3748 0.8755 0.3748  6 Pt 2.64-2.65
Pt 0.3748 0.3748 0.3748  6 Pt 2.64-2.65


Record 7
A relaxed structure of KLaBr2. Source: Alexandria, functional PBE.

density of states at the Fermi level = 0.600 states/eV/atom
M_tot = 1.3 μB per formula unit
space-group type = Immm
polymorph energy (0 for the lowest one) = 245 meV per atom
ΔE_f (raw) = -1.185 eV per atom

Unit cell a=6.7831 b=6.7831 c=6.7831 alpha=146.85 beta=104.99 gamma=84.50
Last column: nearest neighbours and their distance in Å.
Element x y z (fractional)
Br 0.0155 0.0155 0.0000  2 La 3.05, 2 K 3.29
Br 0.4845 0.4845 0.0000  2 La 3.05, 2 K 3.29
K 0.7500 0.2500 0.5000  4 Br 3.29
La 0.2500 0.7500 0.5000  4 Br 3.05


Record 8
A relaxed structure of ScU3In3Te8. Source: Alexandria, functional PBE.

density of states at the Fermi level = 1.322 states/eV/atom
M_tot = 8.0 μB per formula unit
space-group type = R-3m
ΔE_f (raw) = -0.591 eV per atom

Unit cell a=8.5919 b=8.5952 c=9.6617 alpha=116.43 beta=90.00 gamma=119.99
Last column: nearest neighbours and their distance in Å.
Element x y z (fractional)
Sc 0.0000 0.0000 0.5000  6 Te 2.98
U 0.5000 0.0000 0.5000  6 Te 3.09-3.10
U 0.5000 0.5000 0.5000  6 Te 3.08-3.10
U 0.0000 0.5000 0.5000  6 Te 3.08-3.10
In 0.0000 0.0000 0.0000  6 Te 3.37-3.40
In 0.0000 0.5000 0.0000  6 Te 3.37-3.40
In 0.5000 0.5000 0.0000  6 Te 3.37-3.40
Te 0.2584 0.5167 0.2752  3 U 3.10, 3 In 3.37
Te 0.7416 0.4833 0.7248  3 U 3.10, 3 In 3.37
Te 0.7674 0.5348 0.2859  1 Sc 2.98, 2 U 3.08
Te 0.2326 0.4652 0.7141  1 Sc 2.98, 2 U 3.08
Te 0.7676 0.0182 0.2859  1 Sc 2.98, 2 U 3.09
Te 0.2324 0.9818 0.7141  1 Sc 2.98, 2 U 3.09
Te 0.2505 0.0182 0.2859  1 Sc 2.98, 2 U 3.09
Te 0.7495 0.9818 0.7141  1 Sc 2.98, 2 U 3.09


E_tot for every record listed, in sequence, given in eV/cell: -19.579, -30.922, -33.225, -76.501, -20.448, -37.348, -14.110, -82.415.